This record from Alexandria via LeMat-Bulk describes crystalline AcAl3PdRh at its relaxed geometry. The functional is GGA-PBE.

* space group: Cmcm (63)
* ΔH_f (0 K): -0.62 eV/atom
* size of the total moment: 0.0 μB/f.u.

CIF file:
```
data_AcAl3PdRh
_cell_length_a 5.8511
_cell_length_b 6.5680
_cell_length_c 7.1518
_cell_angle_alpha 117.33
_cell_angle_beta 90.00
_cell_angle_gamma 90.00
_space_group_name_H-M_alt 'P 1'
_space_group_IT_number 1
_space_group_name_Hall 'P 1'
loop_
_atom_site_label
_atom_site_type_symbol
_atom_site_fract_x
_atom_site_fract_y
_atom_site_fract_z
Ac1 Ac 0.7500 0.2696 0.5393
Ac2 Ac 0.2500 0.7304 0.4607
Al1 Al 0.2500 0.1418 0.2835
Al2 Al 0.0000 0.2996 0.0000
Al3 Al 0.5000 0.7004 0.0000
Al4 Al 0.5000 0.2996 0.0000
Al5 Al 0.0000 0.7004 0.0000
Al6 Al 0.7500 0.8582 0.7165
Pd1 Pd 0.2500 0.3507 0.7015
Pd2 Pd 0.7500 0.6493 0.2985
Rh1 Rh 0.2500 0.9504 0.9008
Rh2 Rh 0.7500 0.0496 0.0992
```